NaCoOs2I PBE relaxed; space-group type = No. 123; raw formation energy = 2.795 eV/atom; VASP energy = -18.46 eV per formula unit; total magnetic moment = 3.3 μB/f.u.
1.0
-4.626 0.864 0.574
-0.386 -3.575 2.270
0.944 2.417 3.968
I Co Os Na
1 1 2 1
Direct
0.500 0.500 0.500 I
0.000 0.500 0.000 Co
0.000 0.000 0.500 Os
0.500 0.000 0.000 Os
0.000 0.000 0.000 Na